CsSrCa2Rh | meta-GGA SCAN | single point on PBEsol structure

Unit cell a=5.693 b=5.693 c=5.957 alpha=90.00 beta=90.00 gamma=90.00
Sites, in units of the cell vectors:
Cs 0.000 0.000 0.000
Sr 0.500 0.500 0.000
Ca 0.000 0.500 0.500
Ca 0.500 0.000 0.500
Rh 0.500 0.500 0.500

Summary:
**Density**: 3471 kg/m³
**Calculated volume**: 193.1 Å³/cell
**VASP energy**: -22.72 eV/atom
**Energy of formation**: -81 meV per atom